A plane-wave DFT calculation with PBE was carried out for Ac6Ni2AuI3 after structural relaxation.

Lattice parameters (Å, degrees): 7.724 7.724 8.966 98.28 98.28 119.98
Positions (direct):
I: 0.500 0.500 0.500
I: 0.165 0.835 0.500
I: 0.835 0.165 0.500
Ac: 0.588 0.938 0.815
Ac: 0.938 0.588 0.815
Ac: 0.412 0.062 0.185
Ac: 0.062 0.412 0.185
Ac: 0.289 0.289 0.816
Ac: 0.711 0.711 0.184
Ni: 0.333 0.667 0.000
Ni: 0.667 0.333 0.000
Au: 0.000 0.000 0.000

Values from the calculation:
* calculated total energy: -4.462 eV per atom
* formation energy from raw total energies: -9.4 eV per formula unit